# CdSi2Ir GGA-PBE relaxed
data_CdSi2Ir
_chemical_formula_sum 'Cd1 Si2 Ir1'
_space_group_name_H-M_alt 'P m m m'
_space_group_IT_number 47
_space_group_name_Hall '-P 2 2'
_cell_length_a 3.402
_cell_length_b 4.233
_cell_length_c 4.811
_cell_angle_alpha 90.00
_cell_angle_beta 90.00
_cell_angle_gamma 90.00
loop_
_atom_site_label
_atom_site_type_symbol
_atom_site_fract_x
_atom_site_fract_y
_atom_site_fract_z
_atom_site_occupancy
Cd1 Cd 0.000 0.000 0.000 1
Si1 Si 0.500 0.500 0.244 1
Ir1 Ir 0.500 0.000 0.500 1
# Formation energy from raw total energies (eV per atom): 0.0435


# CdSiIr2 GGA-PBE relaxed
data_CdSiIr2
_chemical_formula_sum 'Cd1 Si1 Ir2'
_space_group_name_H-M_alt 'P 4/m m m'
_space_group_IT_number 123
_space_group_name_Hall '-P 4 2'
_cell_length_a 4.191
_cell_length_b 4.191
_cell_length_c 3.459
_cell_angle_alpha 90.00
_cell_angle_beta 90.00
_cell_angle_gamma 90.00
loop_
_atom_site_label
_atom_site_type_symbol
_atom_site_fract_x
_atom_site_fract_y
_atom_site_fract_z
_atom_site_occupancy
Cd1 Cd 0.000 0.000 0.000 1
Si1 Si 0.500 0.500 0.000 1
Ir1 Ir 0.000 0.500 0.500 1
# Formation energy from raw total energies (eV per atom): 0.0423


# CdSi2Ir GGA-PBE relaxed
data_CdSi2Ir
_chemical_formula_sum 'Cd2 Si4 Ir2'
_space_group_name_H-M_alt 'I m m 2'
_space_group_IT_number 44
_space_group_name_Hall 'I 2 -2'
_cell_length_a 3.038
_cell_length_b 4.826
_cell_length_c 8.864
_cell_angle_alpha 90.00
_cell_angle_beta 90.00
_cell_angle_gamma 90.00
loop_
_atom_site_label
_atom_site_type_symbol
_atom_site_fract_x
_atom_site_fract_y
_atom_site_fract_z
_atom_site_occupancy
Cd1 Cd 0.000 0.000 0.000 1
Si1 Si 0.000 0.000 0.505 1
Si2 Si 0.000 0.500 0.776 1
Ir1 Ir 0.000 0.500 0.215 1
# Formation energy from raw total energies (eV per atom): 0.2281


# CdSiIr3 GGA-PBE relaxed
data_CdSiIr3
_chemical_formula_sum 'Cd1 Si1 Ir3'
_space_group_name_H-M_alt 'P m -3 m'
_space_group_IT_number 221
_space_group_name_Hall '-P 4 2 3'
_cell_length_a 4.833
_cell_length_b 4.833
_cell_length_c 4.833
_cell_angle_alpha 90.00
_cell_angle_beta 90.00
_cell_angle_gamma 90.00
loop_
_atom_site_label
_atom_site_type_symbol
_atom_site_fract_x
_atom_site_fract_y
_atom_site_fract_z
_atom_site_occupancy
Cd1 Cd 0.000 0.000 0.000 1
Si1 Si 0.500 0.500 0.500 1
Ir1 Ir 0.000 0.000 0.500 1
# Formation energy from raw total energies (eV per atom): 2.4409


# CdSi2Ir GGA-PBE relaxed
data_CdSi2Ir
_chemical_formula_sum 'Cd2 Si4 Ir2'
_space_group_name_H-M_alt 'C 1 2/m 1'
_space_group_IT_number 12
_space_group_name_Hall '-C 2y'
_cell_length_a 5.597
_cell_length_b 8.914
_cell_length_c 3.115
_cell_angle_alpha 90.00
_cell_angle_beta 122.84
_cell_angle_gamma 90.00
loop_
_atom_site_label
_atom_site_type_symbol
_atom_site_fract_x
_atom_site_fract_y
_atom_site_fract_z
_atom_site_occupancy
Cd1 Cd 0.000 0.000 0.000 1
Si1 Si 0.250 0.250 0.000 1
Ir1 Ir 0.000 0.500 0.000 1
# Formation energy from raw total energies (eV per atom): 0.3849


# Cd2SiIr GGA-PBE relaxed
data_Cd2SiIr
_chemical_formula_sum 'Cd4 Si2 Ir2'
_space_group_name_H-M_alt 'C 1 2/m 1'
_space_group_IT_number 12
_space_group_name_Hall '-C 2y'
_cell_length_a 5.337
_cell_length_b 8.462
_cell_length_c 3.101
_cell_angle_alpha 90.00
_cell_angle_beta 90.21
_cell_angle_gamma 90.00
loop_
_atom_site_label
_atom_site_type_symbol
_atom_site_fract_x
_atom_site_fract_y
_atom_site_fract_z
_atom_site_occupancy
Cd1 Cd 0.250 0.250 0.000 1
Si1 Si 0.000 0.000 0.500 1
Ir1 Ir 0.000 0.500 0.500 1
# Formation energy from raw total energies (eV per atom): 0.2633


# CdSiIr GGA-PBE relaxed
data_CdSiIr
_chemical_formula_sum 'Cd1 Si1 Ir1'
_space_group_name_H-M_alt 'P -6 m 2'
_space_group_IT_number 187
_space_group_name_Hall 'P -6 2'
_cell_length_a 4.0409
_cell_length_b 4.0409
_cell_length_c 3.7757
_cell_angle_alpha 90.00
_cell_angle_beta 90.00
_cell_angle_gamma 120.00
loop_
_atom_site_label
_atom_site_type_symbol
_atom_site_fract_x
_atom_site_fract_y
_atom_site_fract_z
_atom_site_occupancy
Cd1 Cd 0.0000 0.0000 0.0000 1
Si1 Si 0.3333 0.6667 0.5000 1
Ir1 Ir 0.6667 0.3333 0.5000 1
# Formation energy from raw total energies (eV per atom): -0.1491


# CdSiIr2 GGA-PBE relaxed
data_CdSiIr2
_chemical_formula_sum 'Cd2 Si2 Ir4'
_space_group_name_H-M_alt 'C 1 m 1'
_space_group_IT_number 8
_space_group_name_Hall 'C -2y'
_cell_length_a 8.982
_cell_length_b 2.936
_cell_length_c 5.288
_cell_angle_alpha 90.00
_cell_angle_beta 109.81
_cell_angle_gamma 90.00
loop_
_atom_site_label
_atom_site_type_symbol
_atom_site_fract_x
_atom_site_fract_y
_atom_site_fract_z
_atom_site_occupancy
Cd1 Cd 0.000 0.000 0.000 1
Si1 Si 0.257 0.000 0.570 1
Ir1 Ir 0.042 0.500 0.566 1
Ir2 Ir 0.275 0.500 0.229 1
# Formation energy from raw total energies (eV per atom): 0.0055


# CdSiIr2 GGA-PBE relaxed
data_CdSiIr2
_chemical_formula_sum 'Cd2 Si2 Ir4'
_space_group_name_H-M_alt 'C 1 2/m 1'
_space_group_IT_number 12
_space_group_name_Hall '-C 2y'
_cell_length_a 5.794
_cell_length_b 8.657
_cell_length_c 2.882
_cell_angle_alpha 90.00
_cell_angle_beta 118.78
_cell_angle_gamma 90.00
loop_
_atom_site_label
_atom_site_type_symbol
_atom_site_fract_x
_atom_site_fract_y
_atom_site_fract_z
_atom_site_occupancy
Cd1 Cd 0.000 0.000 0.000 1
Si1 Si 0.000 0.500 0.000 1
Ir1 Ir 0.250 0.250 0.500 1
# Formation energy from raw total energies (eV per atom): 0.2357


# Cd2Si7Ir12 GGA-PBE relaxed
data_Cd2Si7Ir12
_chemical_formula_sum 'Cd2 Si7 Ir12'
_space_group_name_H-M_alt 'P -6'
_space_group_IT_number 174
_space_group_name_Hall 'P -6'
_cell_length_a 9.7999
_cell_length_b 9.7999
_cell_length_c 3.8011
_cell_angle_alpha 90.00
_cell_angle_beta 90.00
_cell_angle_gamma 120.00
loop_
_atom_site_label
_atom_site_type_symbol
_atom_site_fract_x
_atom_site_fract_y
_atom_site_fract_z
_atom_site_occupancy
Cd1 Cd 0.0000 0.0000 0.0000 1
Cd2 Cd 0.3333 0.6667 0.5000 1
Si1 Si 0.0699 0.4446 0.0000 1
Si2 Si 0.2626 0.2237 0.5000 1
Si3 Si 0.6667 0.3333 0.0000 1
Ir1 Ir 0.0463 0.2661 0.5000 1
Ir2 Ir 0.1139 0.7074 0.0000 1
Ir3 Ir 0.3969 0.1856 0.0000 1
Ir4 Ir 0.5349 0.4399 0.5000 1
# Formation energy from raw total energies (eV per atom): -0.4673


# Cd2SiIr GGA-PBE relaxed
data_Cd2SiIr
_chemical_formula_sum 'Cd4 Si2 Ir2'
_space_group_name_H-M_alt 'I m m 2'
_space_group_IT_number 44
_space_group_name_Hall 'I 2 -2'
_cell_length_a 3.666
_cell_length_b 4.538
_cell_length_c 8.888
_cell_angle_alpha 90.00
_cell_angle_beta 90.00
_cell_angle_gamma 90.00
loop_
_atom_site_label
_atom_site_type_symbol
_atom_site_fract_x
_atom_site_fract_y
_atom_site_fract_z
_atom_site_occupancy
Cd1 Cd 0.000 0.000 0.000 1
Cd2 Cd 0.000 0.500 0.215 1
Si1 Si 0.000 0.000 0.434 1
Ir1 Ir 0.000 0.500 0.773 1
# Formation energy from raw total energies (eV per atom): 0.0773


# Cd2SiIr GGA-PBE relaxed
data_Cd2SiIr
_chemical_formula_sum 'Cd2 Si1 Ir1'
_space_group_name_H-M_alt 'P 1 m 1'
_space_group_IT_number 6
_space_group_name_Hall 'P -2y'
_cell_length_a 4.166
_cell_length_b 3.752
_cell_length_c 5.344
_cell_angle_alpha 90.00
_cell_angle_beta 112.28
_cell_angle_gamma 90.00
loop_
_atom_site_label
_atom_site_type_symbol
_atom_site_fract_x
_atom_site_fract_y
_atom_site_fract_z
_atom_site_occupancy
Cd1 Cd 0.000 0.000 0.000 1
Cd2 Cd 0.297 0.500 0.607 1
Si1 Si 0.579 0.500 0.162 1
Ir1 Ir 0.711 0.000 0.429 1
# Formation energy from raw total energies (eV per atom): -0.0125


What is the formation energy from raw total energies in the first record? 0.0435 eV per atom